Compound: K2TlAu
Source: the Alexandria database
Functional: PBE
Structure: optimized geometry

- DFT formation energy: -0.181 eV per atom

Geometry as CIF:
```
data_K2TlAu
_chemical_formula_sum 'K4 Tl2 Au2'
_cell_length_a 11.113
_cell_length_b 6.785
_cell_length_c 4.681
_cell_angle_alpha 90.00
_cell_angle_beta 114.41
_cell_angle_gamma 90.00
_space_group_name_H-M_alt 'C 1 2 1'
_space_group_IT_number 5
loop_
_space_group_symop_operation_xyz
'x,y,z'
'-x,y,-z'
'x+1/2,y+1/2,z'
'-x+1/2,y+1/2,-z'
loop_
_atom_site_label
_atom_site_type_symbol
_atom_site_fract_x
_atom_site_fract_y
_atom_site_fract_z
K1 K 0.194 0.000 0.195
Tl1 Tl 0.000 0.502 0.000
Au1 Au 0.000 0.263 0.500
```



Compound: CaInGe2Se6
Source: the Alexandria database
Functional: PBE
Structure: optimized geometry

- Formation energy without anion corrections: -0.5452 eV per atom

Geometry as CIF:
```
data_CaInGe2Se6
_chemical_formula_sum 'Ca4 In4 Ge8 Se24'
_cell_length_a 13.666
_cell_length_b 12.526
_cell_length_c 7.612
_cell_angle_alpha 90.00
_cell_angle_beta 112.38
_cell_angle_gamma 90.00
_space_group_name_H-M_alt 'C 1 2/c 1'
_space_group_IT_number 15
loop_
_space_group_symop_operation_xyz
'x,y,z'
'-x,-y,-z'
'-x,y,-z+1/2'
'x,-y,z+1/2'
'x+1/2,y+1/2,z'
'-x+1/2,-y+1/2,-z'
'-x+1/2,y+1/2,-z+1/2'
'x+1/2,-y+1/2,z+1/2'
loop_
_atom_site_label
_atom_site_type_symbol
_atom_site_fract_x
_atom_site_fract_y
_atom_site_fract_z
Ca1 Ca 0.000 0.130 0.250
In1 In 0.000 0.202 0.750
Ge1 Ge 0.189 0.431 0.215
Se1 Se 0.115 0.056 0.642
Se2 Se 0.126 0.428 0.480
Se3 Se 0.137 0.249 0.092
```



Compound: CaGaO3
Source: the Alexandria database
Functional: PBE
Structure: optimized geometry

- Formation energy without anion corrections: -1.9146 eV per atom

Geometry as CIF:
```
data_CaGaO3
_chemical_formula_sum 'Ca4 Ga4 O12'
_cell_length_a 3.980
_cell_length_b 10.860
_cell_length_c 5.719
_cell_angle_alpha 90.00
_cell_angle_beta 90.00
_cell_angle_gamma 90.00
_space_group_name_H-M_alt 'C m c m'
_space_group_IT_number 63
_space_group_name_Hall '-C 2c 2'
loop_
_atom_site_label
_atom_site_type_symbol
_atom_site_fract_x
_atom_site_fract_y
_atom_site_fract_z
Ca1 Ca 0.000 0.200 0.250
Ga1 Ga 0.000 0.486 0.250
O1 O 0.000 0.016 0.750
O2 O 0.000 0.370 0.515
```



Compound: ZrC
Source: the Alexandria database
Functional: PBE
Structure: optimized geometry

- Energy above the lowest structure with this stoichiometry: 166 kJ/mol of formula units
- DFT formation energy: 0.055 eV per atom

Geometry as CIF:
```
data_ZrC
_chemical_formula_sum 'Zr2 C2'
_cell_length_a 3.416
_cell_length_b 5.163
_cell_length_c 3.144
_cell_angle_alpha 90.00
_cell_angle_beta 90.00
_cell_angle_gamma 90.00
_space_group_name_H-M_alt 'C m m m'
_space_group_IT_number 65
_space_group_name_Hall '-C 2 2'
loop_
_atom_site_label
_atom_site_type_symbol
_atom_site_fract_x
_atom_site_fract_y
_atom_site_fract_z
Zr1 Zr 0.000 0.000 0.000
C1 C 0.000 0.500 0.500
```



Compound: Cd2Br2F
Source: the Alexandria database
Functional: PBE
Structure: optimized geometry

- Energy above the lowest structure with this stoichiometry: 0 kJ/mol of formula units
- Formation energy without anion corrections: -0.9362 eV per atom

Geometry as CIF:
```
data_Cd2Br2F
_chemical_formula_sum 'Cd4 Br4 F2'
_cell_length_a 5.814
_cell_length_b 5.814
_cell_length_c 7.400
_cell_angle_alpha 90.00
_cell_angle_beta 90.00
_cell_angle_gamma 90.00
_space_group_name_H-M_alt 'I 4/m m m'
_space_group_IT_number 139
_space_group_name_Hall '-I 4 2'
loop_
_atom_site_label
_atom_site_type_symbol
_atom_site_fract_x
_atom_site_fract_y
_atom_site_fract_z
Cd1 Cd 0.000 0.000 0.205
Br1 Br 0.000 0.500 0.250
F1 F 0.000 0.000 0.500
```



Compound: Mn2InW
Source: the Alexandria database
Functional: PBE
Structure: optimized geometry

- DFT formation energy: 0.465 eV per atom

Geometry as CIF:
```
data_Mn2InW
_chemical_formula_sum 'Mn8 In4 W4'
_cell_length_a 6.310
_cell_length_b 6.310
_cell_length_c 6.310
_cell_angle_alpha 90.00
_cell_angle_beta 90.00
_cell_angle_gamma 90.00
_space_group_name_H-M_alt 'F -4 3 m'
_space_group_IT_number 216
_space_group_name_Hall 'F -4 2 3'
loop_
_atom_site_label
_atom_site_type_symbol
_atom_site_fract_x
_atom_site_fract_y
_atom_site_fract_z
Mn1 Mn 0.000 0.000 0.000
Mn2 Mn 0.250 0.250 0.250
In1 In 0.250 0.250 0.750
W1 W 0.000 0.000 0.500
```



Compound: La12CeNd5
Source: the Alexandria database
Functional: PBE
Structure: optimized geometry

- DFT formation energy: 0.028 eV per atom

Geometry as CIF:
```
data_La12CeNd5
_chemical_formula_sum 'La24 Ce2 Nd10'
_cell_length_a 19.247
_cell_length_b 11.113
_cell_length_c 6.423
_cell_angle_alpha 90.00
_cell_angle_beta 109.46
_cell_angle_gamma 90.00
_space_group_name_H-M_alt 'C 1 2/m 1'
_space_group_IT_number 12
loop_
_space_group_symop_operation_xyz
'x,y,z'
'-x,-y,-z'
'-x,y,-z'
'x,-y,z'
'x+1/2,y+1/2,z'
'-x+1/2,-y+1/2,-z'
'-x+1/2,y+1/2,-z'
'x+1/2,-y+1/2,z'
loop_
_atom_site_label
_atom_site_type_symbol
_atom_site_fract_x
_atom_site_fract_y
_atom_site_fract_z
La1 La 0.000 0.163 0.000
La2 La 0.000 0.328 0.500
La3 La 0.164 0.164 0.498
La4 La 0.167 0.333 0.001
Ce1 Ce 0.000 0.000 0.500
Nd1 Nd 0.000 0.500 0.000
Nd2 Nd 0.164 0.000 0.991
Nd3 Nd 0.167 0.500 0.502
```



Compound: KCr2Fe
Source: the Alexandria database
Functional: PBE
Structure: optimized geometry

- Energy above the lowest structure with this stoichiometry: 353 kJ/mol of formula units
- DFT formation energy: 1.689 eV per atom

Geometry as CIF:
```
data_KCr2Fe
_chemical_formula_sum 'K2 Cr4 Fe2'
_cell_length_a 4.470
_cell_length_b 4.470
_cell_length_c 8.744
_cell_angle_alpha 90.00
_cell_angle_beta 90.00
_cell_angle_gamma 90.00
_space_group_name_H-M_alt 'I -4 m 2'
_space_group_IT_number 119
_space_group_name_Hall 'I -4 -2'
loop_
_atom_site_label
_atom_site_type_symbol
_atom_site_fract_x
_atom_site_fract_y
_atom_site_fract_z
K1 K 0.000 0.000 0.000
Cr1 Cr 0.000 0.000 0.500
Cr2 Cr 0.000 0.500 0.750
Fe1 Fe 0.000 0.500 0.250
```



Compound: PmNdH2
Source: the Alexandria database
Functional: PBE
Structure: optimized geometry

- Energy above the lowest structure with this stoichiometry: 0 kJ/mol of formula units

Geometry as CIF:
```
data_PmNdH2
_chemical_formula_sum 'Pm3 Nd3 H6'
_cell_length_a 3.6126
_cell_length_b 3.6126
_cell_length_c 17.6897
_cell_angle_alpha 90.00
_cell_angle_beta 90.00
_cell_angle_gamma 120.00
_space_group_name_H-M_alt 'R -3 m'
_space_group_IT_number 166
_space_group_name_Hall '-R 3 2"'
loop_
_atom_site_label
_atom_site_type_symbol
_atom_site_fract_x
_atom_site_fract_y
_atom_site_fract_z
Pm1 Pm 0.0000 0.0000 0.0000
Nd1 Nd 0.0000 0.0000 0.5000
H1 H 0.0000 0.0000 0.2512
```



Compound: MgIrRh2
Source: the Alexandria database
Functional: PBE
Structure: optimized geometry

- DFT formation energy: -0.224 eV per atom

Geometry as CIF:
```
data_MgIrRh2
_chemical_formula_sum 'Mg1 Ir1 Rh2'
_cell_length_a 2.777
_cell_length_b 4.466
_cell_length_c 4.727
_cell_angle_alpha 90.00
_cell_angle_beta 90.00
_cell_angle_gamma 90.00
_space_group_name_H-M_alt 'P m m 2'
_space_group_IT_number 25
loop_
_space_group_symop_operation_xyz
'x,y,z'
'-x,-y,z'
'-x,y,z'
'x,-y,z'
loop_
_atom_site_label
_atom_site_type_symbol
_atom_site_fract_x
_atom_site_fract_y
_atom_site_fract_z
Mg1 Mg 0.000 0.000 0.000
Ir1 Ir 0.000 0.500 0.359
Rh1 Rh 0.500 0.000 0.502
Rh2 Rh 0.500 0.500 0.860
```



Compound: SrScCr2
Source: the Alexandria database
Functional: PBE
Structure: optimized geometry

- Energy above the lowest structure with this stoichiometry: 174 kJ/mol of formula units
- DFT formation energy: 0.919 eV per atom

Geometry as CIF:
```
data_SrScCr2
_chemical_formula_sum 'Sr4 Sc4 Cr8'
_cell_length_a 7.276
_cell_length_b 7.276
_cell_length_c 7.276
_cell_angle_alpha 90.00
_cell_angle_beta 90.00
_cell_angle_gamma 90.00
_space_group_name_H-M_alt 'F -4 3 m'
_space_group_IT_number 216
_space_group_name_Hall 'F -4 2 3'
loop_
_atom_site_label
_atom_site_type_symbol
_atom_site_fract_x
_atom_site_fract_y
_atom_site_fract_z
Sr1 Sr 0.000 0.000 0.000
Sc1 Sc 0.250 0.250 0.250
Cr1 Cr 0.000 0.000 0.500
Cr2 Cr 0.250 0.250 0.750
```



Compound: LaCd2Pb
Source: the Alexandria database
Functional: PBE
Structure: optimized geometry

- DFT formation energy: -0.296 eV per atom

Geometry as CIF:
```
data_LaCd2Pb
_chemical_formula_sum 'La3 Cd6 Pb3'
_cell_length_a 4.9187
_cell_length_b 4.9187
_cell_length_c 16.3736
_cell_angle_alpha 90.00
_cell_angle_beta 90.00
_cell_angle_gamma 120.00
_space_group_name_H-M_alt 'R 3 m'
_space_group_IT_number 160
_space_group_name_Hall 'R 3 -2"'
loop_
_atom_site_label
_atom_site_type_symbol
_atom_site_fract_x
_atom_site_fract_y
_atom_site_fract_z
La1 La 0.0000 0.0000 0.0000
Cd1 Cd 0.0000 0.0000 0.4840
Cd2 Cd 0.0000 0.0000 0.7678
Pb1 Pb 0.0000 0.0000 0.2263
```



These records have density of states at the Fermi level values of 2.192; 4.250; 2.403; 0.546; 1.979; 1.510; 38.819; 6.065; 2.363; 3.408; 6.006; 1.945 states/eV/f.u., in the order they appear.
These records have calculated density values of 4.96; 4.27; 4.24; 6.18; 5.36; 10.80; 6.48; 3.78; 7.26; 11.96; 4.08; 8.29 g/cm³, in the order they appear.
These records have total energy values of -17.12; -161.34; -117.91; -35.33; -23.46; -128.69; -176.79; -44.10; -53.46; -26.05; -94.33; -34.94 eV per cell, in the order they appear.